HSF3 | GGA-PBE | relaxed

The calculation puts the density of states at the Fermi level at 0.302 states/eV/atom. As for the energy above the most stable polymorph in this dataset: 0.000 eV per atom. The value obtained for the total magnetization is 1.0 μB per cell.

The space group is Pm-3m (No. 221) and the conventional cell measures 3.9946, 3.9946 and 3.9946 Å, with angles of 90.00, 90.00 and 90.00 degrees. The asymmetric unit holds H at (0.0000, 0.0000, 0.0000), S at (0.5000, 0.5000, 0.5000) and F at (0.0000, 0.5000, 0.5000).



La2Ag2H | GGA-PBE | relaxed

Its total energy is -4.05 eV/atom. The calculation puts the density of states at the Fermi level at 0.863 states/eV/atom. The value obtained for the total magnetization is 0.3 μB per cell.

The space group is P4/mmm (No. 123) and the conventional cell measures 5.1731, 5.1731 and 4.2074 Å, with angles of 90.00, 90.00 and 90.00 degrees. The asymmetric unit holds La at (0.0000, 0.5000, 0.0000), Ag at (0.0000, 0.0000, 0.5000), Ag at (0.5000, 0.5000, 0.5000) and H at (0.0000, 0.0000, 0.0000).



BiC2N | GGA-PBE | relaxed

The calculation puts the density of states at the Fermi level at 0.168 states/eV/atom. As for the energy above the most stable polymorph in this dataset: 0.000 eV per atom. The value obtained for the total magnetization is 0.0 μB per cell. The value obtained for the uncorrected formation energy is 8.49 eV per formula unit.

The space group is I-42d (No. 122) and the conventional cell measures 5.3044, 5.3044 and 6.5051 Å, with angles of 90.00, 90.00 and 90.00 degrees. The asymmetric unit holds Bi at (0.0000, 0.0000, 0.0000), C at (0.1153, 0.2500, 0.6250) and N at (0.0000, 0.0000, 0.5000).



In2FeHg | GGA-PBE | relaxed

Its energy relative to the elements is 0.361 eV per atom. The calculation puts the density of states at the Fermi level at 0.601 states/eV/atom. The value obtained for the total magnetization is 2.8 μB per cell.

The space group is P2/m (No. 10) and the conventional cell measures 5.0969, 3.2686 and 5.5424 Å, with angles of 90.00, 113.54 and 90.00 degrees. The asymmetric unit holds In at (0.0000, 0.0000, 0.0000), In at (0.0000, 0.5000, 0.5000), Fe at (0.5000, 0.0000, 0.5000) and Hg at (0.5000, 0.5000, 0.0000).